Record 1
Here is a relaxed structure of Pm3SiBi2 from the Alexandria database. Energies are from GGA-PBE.

a = 4.3862 Å, b = 6.3355 Å, c = 7.7977 Å
α = 113.97°, β = 106.33°, γ = 90.00°
Fractional positions:
Pm  0.3479  0.3479  0.6958
Pm  0.0000  0.0000  0.0000
Pm  0.6521  0.6521  0.3042
Si  0.0000  0.5000  0.0000
Bi  0.6726  0.1726  0.3451
Bi  0.3274  0.8274  0.6549

Output
SG = No. 71
Electronic total energy = -5.33 eV/atom
Total magnetization = 0.00 Bohr magnetons per cell

=====

Record 2
Here is a relaxed structure of Pm7Si2Bi2 from the Alexandria database. Energies are from GGA-PBE.

a = 7.2577 Å, b = 6.8815 Å, c = 7.2577 Å
α = 90.00°, β = 101.22°, γ = 90.00°
Fractional positions:
Pm  0.9998  0.2578  0.5003
Pm  0.5003  0.7422  0.9998
Pm  0.0002  0.7422  0.4997
Pm  0.4997  0.2578  0.0002
Pm  0.0000  0.0000  0.0000
Pm  0.5002  0.7621  0.4998
Pm  0.4998  0.2379  0.5002
Si  0.7294  0.0000  0.2706
Si  0.2706  0.0000  0.7294
Bi  0.8068  0.5000  0.8068
Bi  0.1932  0.5000  0.1932

Output
SG = No. 65
Electronic total energy = -5.14 eV/atom
Total magnetization = 0.00 Bohr magnetons per cell

=====

Record 3
Here is a relaxed structure of Pm2SiBi from the Alexandria database. Energies are from GGA-PBE.

a = 4.3067 Å, b = 4.3067 Å, c = 7.8955 Å
α = 90.04°, β = 105.80°, γ = 119.96°
Fractional positions:
Pm  0.5177  0.2587  0.7764
Pm  0.4823  0.7413  0.2236
Si  0.0000  0.0000  0.0000
Bi  0.0000  0.5000  0.5000

Output
SG = No. 166
Total magnetization = 0.00 Bohr magnetons per cell
Energy above the lowest structure with this stoichiometry = 0.0 meV per atom

=====

Record 4
Here is a relaxed structure of Pm7Si2Bi3 from the Alexandria database. Energies are from GGA-PBE.

a = 5.4072 Å, b = 5.5730 Å, c = 13.2840 Å
α = 102.11°, β = 90.00°, γ = 90.00°
Fractional positions:
Pm  0.0000  0.3899  0.7799
Pm  0.0000  0.7856  0.5711
Pm  0.0000  0.0000  0.0000
Pm  0.0000  0.6101  0.2201
Pm  0.5000  0.0999  0.1999
Pm  0.5000  0.9001  0.8001
Pm  0.0000  0.2144  0.4289
Si  0.0000  0.8927  0.7854
Si  0.0000  0.1073  0.2146
Bi  0.5000  0.5000  0.0000
Bi  0.5000  0.6900  0.3800
Bi  0.5000  0.3100  0.6200

Output
SG = No. 65
Electronic total energy = -5.11 eV/atom
Total magnetization = 1.51 Bohr magnetons per cell

=====

Record 5
Here is a relaxed structure of Pm5Si2Bi2 from the Alexandria database. Energies are from GGA-PBE.

a = 8.1385 Å, b = 8.1163 Å, c = 8.8700 Å
α = 117.23°, β = 90.00°, γ = 90.00°
Fractional positions:
Pm  0.0000  0.0000  0.0000
Pm  0.5000  0.5000  0.0000
Pm  0.8292  0.7958  0.2493
Pm  0.1708  0.4535  0.2493
Pm  0.3292  0.9535  0.2493
Pm  0.6708  0.2958  0.2493
Pm  0.1708  0.2042  0.7507
Pm  0.8292  0.5465  0.7507
Pm  0.6708  0.0465  0.7507
Pm  0.3292  0.7042  0.7507
Si  0.6226  0.8769  0.0000
Si  0.3774  0.1231  0.0000
Si  0.1226  0.6231  0.0000
Si  0.8774  0.3769  0.0000
Bi  0.0000  0.2085  0.4170
Bi  0.5000  0.7085  0.4170
Bi  0.0000  0.7915  0.5830
Bi  0.5000  0.2915  0.5830

Output
SG = No. 64
Electronic total energy = -5.50 eV/atom
Total magnetization = 0.00 Bohr magnetons per cell

=====

Record 6
Here is a relaxed structure of PmSiBi from the Alexandria database. Energies are from GGA-PBE.

a = 3.8835 Å, b = 4.7927 Å, c = 9.2211 Å
α = 90.00°, β = 102.16°, γ = 90.00°
Fractional positions:
Si  0.4198  0.7500  0.8396
Si  0.5802  0.2500  0.1604
Bi  0.8014  0.7500  0.6029
Bi  0.1986  0.2500  0.3971
Pm  0.9271  0.2500  0.8541
Pm  0.0729  0.7500  0.1459

Output
SG = No. 63
Electronic total energy = -4.94 eV/atom
Total magnetization = 0.00 Bohr magnetons per cell

=====

Record 7
Here is a relaxed structure of Pm4SiBi2 from the Alexandria database. Energies are from GGA-PBE.

a = 5.3766 Å, b = 5.3766 Å, c = 9.1316 Å
α = 107.12°, β = 107.12°, γ = 90.00°
Fractional positions:
Si  0.0000  0.0000  0.0000
Bi  0.6360  0.6360  0.2719
Bi  0.3640  0.3640  0.7281
Pm  0.8308  0.8308  0.6615
Pm  0.1692  0.1692  0.3385
Pm  0.0000  0.5000  0.0000
Pm  0.5000  0.0000  0.0000

Output
SG = No. 139
Total magnetization = 0.00 Bohr magnetons per cell
Energy above the lowest structure with this stoichiometry = 32.7 meV per atom

=====

Record 8
Here is a relaxed structure of Pm6Si2BiTe3 from the Alexandria database. Energies are from GGA-PBE.

a = 4.3927 Å, b = 8.9346 Å, c = 9.9117 Å
α = 103.32°, β = 102.80°, γ = 90.00°
Fractional positions:
Pm  0.3303  0.8896  0.6605
Pm  0.6734  0.5690  0.3469
Pm  0.6697  0.1104  0.3395
Pm  0.0116  0.2560  0.0232
Pm  0.9884  0.7440  0.9768
Pm  0.3266  0.4310  0.6531
Si  0.8316  0.6635  0.6631
Si  0.1684  0.3365  0.3369
Bi  0.5000  0.0000  0.0000
Te  0.5000  0.5000  0.0000
Te  0.8374  0.1659  0.6747
Te  0.1626  0.8341  0.3253

Output
SG = No. 12
Electronic total energy = -5.55 eV/atom
Total magnetization = 0.00 Bohr magnetons per cell

=====

Record 9
Here is a relaxed structure of Pm3SmBi from the Alexandria database. Energies are from GGA-PBE.

a = 4.0398 Å, b = 11.1605 Å, c = 14.9661 Å
α = 90.00°, β = 90.00°, γ = 90.00°
Fractional positions:
Pm  0.2500  0.5602  0.0884
Pm  0.7500  0.4398  0.9116
Pm  0.2500  0.0602  0.4116
Pm  0.7500  0.9398  0.5884
Pm  0.2500  0.4393  0.7047
Pm  0.7500  0.0607  0.2047
Pm  0.2500  0.9393  0.7953
Pm  0.7500  0.6915  0.7108
Pm  0.2500  0.3085  0.2892
Pm  0.7500  0.1915  0.7892
Pm  0.7500  0.5607  0.2953
Pm  0.2500  0.8085  0.2108
Sm  0.7500  0.8421  0.0040
Sm  0.2500  0.6579  0.5040
Sm  0.7500  0.3421  0.4960
Sm  0.2500  0.1579  0.9960
Bi  0.2500  0.1666  0.6170
Bi  0.2500  0.6666  0.8830
Bi  0.7500  0.3334  0.1170
Bi  0.7500  0.8334  0.3830

Output
Energy of formation from the pure elements = -255 meV/atom
SG = No. 62
Total magnetization = 0.00 Bohr magnetons per cell

=====

Record 10
Here is a relaxed structure of PmSm2Bi3 from the Alexandria database. Energies are from GGA-PBE.

a = 4.5669 Å, b = 6.4507 Å, c = 7.9074 Å
α = 114.07°, β = 106.78°, γ = 90.00°
Fractional positions:
Pm  0.0000  0.5000  0.0000
Sm  0.6665  0.1665  0.3329
Sm  0.3335  0.8335  0.6671
Bi  0.3326  0.3326  0.6652
Bi  0.0000  0.0000  0.0000
Bi  0.6674  0.6674  0.3348

Output
Energy of formation from the pure elements = -931 meV/atom
SG = No. 71
Total magnetization = 0.00 Bohr magnetons per cell

=====

Record 11
Here is a relaxed structure of PmSm2Bi from the Alexandria database. Energies are from GGA-PBE.

a = 4.0813 Å, b = 4.0813 Å, c = 10.1715 Å
α = 78.43°, β = 78.43°, γ = 60.00°
Fractional positions:
Bi  0.0000  0.0000  0.0000
Sm  0.2638  0.2638  0.2085
Sm  0.7362  0.7362  0.7915
Pm  0.5000  0.5000  0.5000

Output
Energy of formation from the pure elements = -185 meV/atom
SG = No. 166
Total magnetization = 0.00 Bohr magnetons per cell
Energy above the lowest structure with this stoichiometry = 263.8 meV per atom

=====

Record 12
Here is a relaxed structure of PmSm2Bi from the Alexandria database. Energies are from GGA-PBE.

a = 4.7022 Å, b = 4.6665 Å, c = 12.0445 Å
α = 90.00°, β = 101.26°, γ = 90.00°
Fractional positions:
Pm  0.6940  0.7500  0.3876
Pm  0.3060  0.2500  0.6124
Sm  0.5634  0.2500  0.1263
Sm  0.4366  0.7500  0.8737
Sm  0.0589  0.7500  0.1178
Sm  0.9411  0.2500  0.8822
Bi  0.1687  0.2500  0.3366
Bi  0.8313  0.7500  0.6634

Output
Energy of formation from the pure elements = -449 meV/atom
SG = No. 63
Total magnetization = 0.00 Bohr magnetons per cell
Energy above the lowest structure with this stoichiometry = 0.0 meV per atom

=====

Record 13
Here is a relaxed structure of Pm3SmBi2 from the Alexandria database. Energies are from GGA-PBE.

a = 7.1967 Å, b = 7.9267 Å, c = 9.2470 Å
α = 115.38°, β = 112.90°, γ = 90.00°
Fractional positions:
Pm  0.5000  0.2500  0.0000
Pm  0.5000  0.7500  0.0000
Pm  0.7991  0.0491  0.5982
Pm  0.2009  0.4509  0.4018
Pm  0.2009  0.9509  0.4018
Pm  0.7991  0.5491  0.5982
Sm  0.0000  0.5000  0.0000
Sm  0.0000  0.0000  0.0000
Bi  0.5136  0.3513  0.7026
Bi  0.8110  0.1487  0.2974
Bi  0.1890  0.8513  0.7026
Bi  0.4864  0.6487  0.2974

Output
Energy of formation from the pure elements = -418 meV/atom
SG = No. 72
Total magnetization = 0.02 Bohr magnetons per cell
Energy above the lowest structure with this stoichiometry = 231.0 meV per atom

=====

Record 14
Here is a relaxed structure of Pm3Sm4Bi4 from the Alexandria database. Energies are from GGA-PBE.

a = 4.4329 Å, b = 7.3687 Å, c = 11.7919 Å
α = 90.00°, β = 90.00°, γ = 107.51°
Fractional positions:
Pm  0.3641  0.7281  0.3532
Pm  0.3641  0.7281  0.6468
Pm  0.2913  0.5825  0.0000
Sm  0.6618  0.3237  0.5000
Sm  0.5948  0.1897  0.0000
Sm  0.0614  0.1229  0.7573
Sm  0.0614  0.1229  0.2427
Bi  0.7334  0.4668  0.7801
Bi  0.7334  0.4668  0.2199
Bi  0.9872  0.9745  0.5000
Bi  0.9455  0.8909  0.0000

Output
Energy of formation from the pure elements = -543 meV/atom
SG = No. 38
Total magnetization = 0.00 Bohr magnetons per cell

=====

Record 15
Here is a relaxed structure of Pm3Sm5Bi4 from the Alexandria database. Energies are from GGA-PBE.

a = 5.3704 Å, b = 8.9084 Å, c = 9.4224 Å
α = 87.69°, β = 73.44°, γ = 72.46°
Fractional positions:
Pm  0.6154  0.1076  0.6617
Pm  0.0000  0.5000  0.5000
Pm  0.3846  0.8924  0.3383
Sm  0.6825  0.4905  0.1445
Sm  0.5000  0.5000  0.5000
Sm  0.3659  0.1922  0.0760
Sm  0.6341  0.8078  0.9240
Sm  0.3175  0.5095  0.8555
Bi  0.9436  0.2876  0.8251
Bi  0.2242  0.8545  0.6972
Bi  0.7758  0.1455  0.3028
Bi  0.0564  0.7124  0.1749

Output
Energy of formation from the pure elements = -199 meV/atom
SG = No. 12
Total magnetization = 0.43 Bohr magnetons per cell

=====

Record 16
Here is a relaxed structure of Pm2SmBi2 from the Alexandria database. Energies are from GGA-PBE.

a = 5.1327 Å, b = 6.5912 Å, c = 9.8213 Å
α = 90.00°, β = 105.15°, γ = 90.00°
Fractional positions:
Pm  0.0000  0.2731  0.0000
Pm  0.1915  0.5232  0.3830
Pm  0.8085  0.0232  0.6170
Pm  0.0000  0.7731  0.0000
Sm  0.6015  0.0230  0.2030
Sm  0.3985  0.5230  0.7970
Bi  0.5790  0.5231  0.1580
Bi  0.1955  0.0232  0.3910
Bi  0.8045  0.5232  0.6090
Bi  0.4210  0.0231  0.8420

Output
Energy of formation from the pure elements = -697 meV/atom
SG = No. 63
Total magnetization = 0.00 Bohr magnetons per cell

=====

Record 17
Here is a relaxed structure of PmSm4Bi5 from the Alexandria database. Energies are from GGA-PBE.

a = 4.5650 Å, b = 6.4473 Å, c = 12.0663 Å
α = 105.50°, β = 100.90°, γ = 90.00°
Fractional positions:
Pm  0.0000  0.0000  0.0000
Sm  0.4000  0.4000  0.8000
Sm  0.7998  0.7998  0.5995
Sm  0.2002  0.2002  0.4005
Sm  0.6000  0.6000  0.2000
Bi  0.6005  0.1005  0.2010
Bi  0.8001  0.3001  0.6003
Bi  0.1999  0.6999  0.3997
Bi  0.0000  0.5000  0.0000
Bi  0.3995  0.8995  0.7990

Output
Energy of formation from the pure elements = -930 meV/atom
SG = No. 71
Total magnetization = 0.00 Bohr magnetons per cell

=====

Record 18
Here is a relaxed structure of Pm5Sm5Bi6 from the Alexandria database. Energies are from GGA-PBE.

a = 6.5288 Å, b = 9.4292 Å, c = 9.4292 Å
α = 120.06°, β = 90.00°, γ = 90.00°
Fractional positions:
Pm  0.7500  0.3334  0.6664
Pm  0.7500  0.6664  0.3334
Pm  0.2500  0.6664  0.3334
Pm  0.2500  0.3334  0.6664
Pm  0.0000  0.2457  0.2457
Sm  0.0000  0.7539  0.0002
Sm  0.0000  0.0002  0.7539
Sm  0.5000  0.7546  0.7546
Sm  0.5000  0.2462  0.9998
Sm  0.5000  0.9998  0.2462
Bi  0.0000  0.6135  0.6135
Bi  0.0000  0.3874  0.9994
Bi  0.0000  0.9994  0.3874
Bi  0.5000  0.3870  0.3870
Bi  0.5000  0.6128  0.0000
Bi  0.5000  0.0000  0.6128

Output
Energy of formation from the pure elements = -763 meV/atom
SG = No. 38
Total magnetization = 1.07 Bohr magnetons per cell

=====

Record 19
Here is a relaxed structure of PmSm2Bi from the Alexandria database. Energies are from GGA-PBE.

a = 4.1587 Å, b = 4.1587 Å, c = 7.3751 Å
α = 90.00°, β = 90.00°, γ = 90.00°
Fractional positions:
Bi  0.5000  0.5000  0.5000
Sm  0.0000  0.0000  0.7249
Sm  0.0000  0.0000  0.2751
Pm  0.5000  0.5000  0.0000

Output
Energy of formation from the pure elements = -364 meV/atom
SG = No. 123
Total magnetization = 0.00 Bohr magnetons per cell
Energy above the lowest structure with this stoichiometry = 84.1 meV per atom

=====

Record 20
Here is a relaxed structure of PmSm3Bi3 from the Alexandria database. Energies are from GGA-PBE.

a = 9.5948 Å, b = 9.5948 Å, c = 9.5948 Å
α = 90.00°, β = 90.00°, γ = 90.00°
Fractional positions:
Pm  0.0712  0.5712  0.9288
Pm  0.9288  0.0712  0.5712
Pm  0.4288  0.4288  0.4288
Pm  0.5712  0.9288  0.0712
Sm  0.8213  0.3213  0.1787
Sm  0.9277  0.9277  0.9277
Sm  0.8215  0.6785  0.3215
Sm  0.1787  0.8213  0.3213
Sm  0.1785  0.1785  0.1785
Sm  0.3215  0.8215  0.6785
Sm  0.0723  0.4277  0.5723
Sm  0.3213  0.1787  0.8213
Sm  0.6785  0.3215  0.8215
Sm  0.6787  0.6787  0.6787
Sm  0.5723  0.0723  0.4277
Sm  0.4277  0.5723  0.0723
Bi  0.7489  0.6245  0.0002
Bi  0.8755  0.9998  0.2489
Bi  0.0002  0.7489  0.6245
Bi  0.1245  0.4998  0.2511
Bi  0.2511  0.1245  0.4998
Bi  0.2489  0.8755  0.9998
Bi  0.9998  0.2489  0.8755
Bi  0.3755  0.5002  0.7511
Bi  0.4998  0.2511  0.1245
Bi  0.6245  0.0002  0.7489
Bi  0.7511  0.3755  0.5002
Bi  0.5002  0.7511  0.3755

Output
Energy of formation from the pure elements = -810 meV/atom
SG = No. 198
Total magnetization = 0.01 Bohr magnetons per cell
Energy above the lowest structure with this stoichiometry = 0.0 meV per atom

=====

Record 21
Here is a relaxed structure of Pm2Sm2Bi5 from the Alexandria database. Energies are from GGA-PBE.

a = 8.5789 Å, b = 9.1617 Å, c = 9.1617 Å
α = 125.55°, β = 90.00°, γ = 90.00°
Fractional positions:
Pm  0.3398  0.1564  0.1564
Pm  0.6602  0.8436  0.8436
Pm  0.8398  0.3436  0.3436
Pm  0.1602  0.6564  0.6564
Sm  0.0000  0.8085  0.1915
Sm  0.5000  0.3085  0.6915
Sm  0.0000  0.1915  0.8085
Sm  0.5000  0.6915  0.3085
Bi  0.0000  0.0000  0.0000
Bi  0.5000  0.5000  0.5000
Bi  0.1494  0.2086  0.4920
Bi  0.8506  0.5080  0.7914
Bi  0.6494  0.0080  0.2914
Bi  0.3506  0.7086  0.9920
Bi  0.8506  0.7914  0.5080
Bi  0.1494  0.4920  0.2086
Bi  0.3506  0.9920  0.7086
Bi  0.6494  0.2914  0.0080

Output
Energy of formation from the pure elements = -716 meV/atom
SG = No. 64
Total magnetization = 0.00 Bohr magnetons per cell